Here is a relaxed RbWS2O8 crystal from the Alexandria database. Energies are from PBE with a Hubbard U.

Properties
As for the raw total energy: -6.313 eV/atom. The crystal system is monoclinic. For the total magnetization, the calculation gives 3.000 μB per cell.

CIF file:
```
data_RbWS2O8
_cell_length_a 5.049
_cell_length_b 5.049
_cell_length_c 8.515
_cell_angle_alpha 85.97
_cell_angle_beta 85.97
_cell_angle_gamma 64.08
_symmetry_space_group_name_H-M 'P 1'
_symmetry_Int_Tables_number 1
_symmetry_space_group_name_Hall 'P 1'
loop_
_atom_site_label
_atom_site_type_symbol
_atom_site_fract_x
_atom_site_fract_y
_atom_site_fract_z
Rb1 Rb 0.000 0.000 0.500
W1 W 0.000 0.000 0.000
S1 S 0.629 0.629 0.200
S2 S 0.371 0.371 0.800
O1 O 0.699 0.246 0.816
O2 O 0.752 0.752 0.066
O3 O 0.688 0.688 0.356
O4 O 0.312 0.312 0.644
O5 O 0.248 0.248 0.934
O6 O 0.246 0.699 0.816
O7 O 0.754 0.301 0.184
O8 O 0.301 0.754 0.184
```